No. 1
A relaxed structure of Zn2SF2, computed with PBE-GGA.

Its uncorrected formation energy is -7.2 eV/f.u. Its total energy is -3.524 eV/atom. The value obtained for the density is 3.45 g/cm3.

It has space group I4_1md (No. 109), with a = 6.4400 Å, b = 6.4400 Å, c = 9.3243 Å, α = 90.00°, β = 90.00° and γ = 90.00°. The inequivalent atoms are Zn at (0.0000, 0.2517, 0.0000), S at (0.0000, 0.0000, 0.5899) and F at (0.0000, 0.2968, 0.2155).

---

No. 2
A relaxed structure of Zn4SF2, computed with PBE-GGA.

Its uncorrected formation energy is -4.8 eV/f.u. Its total energy is -2.532 eV/atom. The value obtained for the density is 3.81 g/cm3. The density of states at the Fermi level comes out at 2.76 states/eV/cell.

It has space group I4/mmm (No. 139), with a = 4.4206 Å, b = 4.4206 Å, c = 14.8107 Å, α = 90.00°, β = 90.00° and γ = 90.00°. The inequivalent atoms are Zn at (0.0000, 0.0000, 0.2327), Zn at (0.0000, 0.5000, 0.0000), S at (0.0000, 0.0000, 0.5000) and F at (0.0000, 0.0000, 0.0849).

---

No. 3
A relaxed structure of Zn2SF, computed with PBE-GGA.

Its uncorrected formation energy is -2.6 eV/f.u. Its total energy is -2.775 eV/atom. The value obtained for the density is 5.30 g/cm3. The density of states at the Fermi level comes out at 7.06 states/eV/cell. As for the distance to the lowest polymorph of the same formula: 0.247 eV/atom.

It has space group Fm-3m (No. 225), with a = 6.1088 Å, b = 6.1088 Å, c = 6.1088 Å, α = 90.00°, β = 90.00° and γ = 90.00°. The inequivalent atoms are Zn at (0.2500, 0.2500, 0.2500), S at (0.0000, 0.0000, 0.0000) and F at (0.0000, 0.0000, 0.5000).

---

No. 4
A relaxed structure of Zn2SF, computed with PBE-GGA.

Its uncorrected formation energy is -3.5 eV/f.u. Its total energy is -3.021 eV/atom. The value obtained for the density is 4.07 g/cm3. The density of states at the Fermi level comes out at 4.03 states/eV/cell. As for the distance to the lowest polymorph of the same formula: 0.000 eV/atom.

It has space group I-42d (No. 122), with a = 5.1365 Å, b = 5.1365 Å, c = 11.2427 Å, α = 90.00°, β = 90.00° and γ = 90.00°. The inequivalent atoms are Zn at (0.2242, 0.2500, 0.1250), S at (0.0000, 0.0000, 0.5000) and F at (0.0000, 0.0000, 0.0000).

---

No. 5
A relaxed structure of ZnSF2, computed with PBE-GGA.

Its uncorrected formation energy is -4.9 eV/f.u. Its total energy is -3.517 eV/atom. The value obtained for the density is 3.13 g/cm3. The density of states at the Fermi level comes out at 3.72 states/eV/cell. As for the distance to the lowest polymorph of the same formula: 0.000 eV/atom.

It has space group R-3m (No. 166, hexagonal axes), with a = 2.9708 Å, b = 2.9708 Å, c = 28.2538 Å, α = 90.00°, β = 90.00° and γ = 120.00°. The inequivalent atoms are Zn at (0.0000, 0.0000, 0.0000), S at (0.0000, 0.0000, 0.5000) and F at (0.0000, 0.0000, 0.3721).

---

No. 6
A relaxed structure of ZnSF2, computed with PBE-GGA.

Its uncorrected formation energy is -3.9 eV/f.u. Its total energy is -3.258 eV/atom. The value obtained for the density is 2.81 g/cm3. The density of states at the Fermi level comes out at 3.76 states/eV/cell. As for the distance to the lowest polymorph of the same formula: 0.259 eV/atom.

It has space group I-42d (No. 122), with a = 5.9968 Å, b = 5.9968 Å, c = 8.9073 Å, α = 90.00°, β = 90.00° and γ = 90.00°. The inequivalent atoms are Zn at (0.0000, 0.0000, 0.0000), S at (0.0000, 0.0000, 0.5000) and F at (0.0779, 0.2500, 0.1250).

---

No. 7
A relaxed structure of ZnSF3, computed with PBE-GGA.

Its uncorrected formation energy is -5.5 eV/f.u. Its total energy is -3.295 eV/atom. The value obtained for the density is 3.69 g/cm3. The density of states at the Fermi level comes out at 0.00 states/eV/cell. As for the distance to the lowest polymorph of the same formula: 0.000 eV/atom.

It has space group Pm-3m (No. 221), with a = 4.1135 Å, b = 4.1135 Å, c = 4.1135 Å, α = 90.00°, β = 90.00° and γ = 90.00°. The inequivalent atoms are Zn at (0.0000, 0.0000, 0.0000), S at (0.5000, 0.5000, 0.5000) and F at (0.0000, 0.0000, 0.5000).

---

No. 8
A relaxed structure of ZnSF, computed with PBE-GGA.

Its uncorrected formation energy is -2.5 eV/f.u. Its total energy is -3.252 eV/atom. The value obtained for the density is 3.83 g/cm3. The density of states at the Fermi level comes out at 7.56 states/eV/cell.

It has space group Cmc2_1 (No. 36), with a = 2.8746 Å, b = 11.8295 Å, c = 5.9351 Å, α = 90.00°, β = 90.00° and γ = 90.00°. The inequivalent atoms are Zn at (0.0000, 0.1694, 0.0000), S at (0.0000, 0.3493, 0.8189) and F at (0.0000, 0.0688, 0.7631).

---

No. 9
A relaxed structure of ZnS3F, computed with PBE-GGA.

Its uncorrected formation energy is 3.3 eV/f.u. Its total energy is -2.442 eV/atom. The value obtained for the density is 3.14 g/cm3. The density of states at the Fermi level comes out at 4.48 states/eV/cell. As for the distance to the lowest polymorph of the same formula: 0.000 eV/atom.

It has space group Pm-3m (No. 221), with a = 4.5720 Å, b = 4.5720 Å, c = 4.5720 Å, α = 90.00°, β = 90.00° and γ = 90.00°. The inequivalent atoms are Zn at (0.0000, 0.0000, 0.0000), S at (0.0000, 0.0000, 0.5000) and F at (0.5000, 0.5000, 0.5000).

---

No. 10
A relaxed structure of ZrZn2SF, computed with PBE-GGA.

Its uncorrected formation energy is -0.5 eV/f.u. Its total energy is -3.521 eV/atom. The value obtained for the density is 3.03 g/cm3. The density of states at the Fermi level comes out at 2.07 states/eV/cell.

It has space group P4/mmm (No. 123), with a = 5.6012 Å, b = 5.6012 Å, c = 4.7692 Å, α = 90.00°, β = 90.00° and γ = 90.00°. The inequivalent atoms are Zr at (0.0000, 0.0000, 0.0000), Zn at (0.0000, 0.5000, 0.0000), S at (0.0000, 0.0000, 0.5000) and F at (0.5000, 0.5000, 0.5000).

---

- Which of these has the lowest density?
  number 6

---

Repeat the ninth record exactly.
A relaxed structure of ZnS3F, computed with PBE-GGA.

Its uncorrected formation energy is 3.3 eV/f.u. Its total energy is -2.442 eV/atom. The value obtained for the density is 3.14 g/cm3. The density of states at the Fermi level comes out at 4.48 states/eV/cell. As for the distance to the lowest polymorph of the same formula: 0.000 eV/atom.

It has space group Pm-3m (No. 221), with a = 4.5720 Å, b = 4.5720 Å, c = 4.5720 Å, α = 90.00°, β = 90.00° and γ = 90.00°. The inequivalent atoms are Zn at (0.0000, 0.0000, 0.0000), S at (0.0000, 0.0000, 0.5000) and F at (0.5000, 0.5000, 0.5000).

---

- density of number 8 (ZnSF)?
  3.83 g/cm3